Record 1
# PuTlIr PBE optimized geometry
# * total DFT energy (no corrections): -25.863 eV for the cell shown
data_PuTlIr
_space_group_name_H-M_alt 'P 1'
_space_group_IT_number 1
_cell_length_a 4.7400
_cell_length_b 4.7400
_cell_length_c 4.7400
_cell_angle_alpha 60.00
_cell_angle_beta 60.00
_cell_angle_gamma 60.00
loop_
_space_group_symop_operation_xyz
'x,y,z'
loop_
_atom_site_label
_atom_site_type_symbol
_atom_site_fract_x
_atom_site_fract_y
_atom_site_fract_z
Pu1 Pu 0.0000 0.0000 0.0000
Tl1 Tl 0.5000 0.5000 0.5000
Ir1 Ir 0.2500 0.2500 0.2500

---

Record 2
# PuTlIr PBE optimized geometry
# * total DFT energy (no corrections): -24.065 eV for the cell shown
data_PuTlIr
_space_group_name_H-M_alt 'P 1'
_space_group_IT_number 1
_cell_length_a 4.8434
_cell_length_b 4.8434
_cell_length_c 4.8434
_cell_angle_alpha 60.00
_cell_angle_beta 60.00
_cell_angle_gamma 60.00
loop_
_space_group_symop_operation_xyz
'x,y,z'
loop_
_atom_site_label
_atom_site_type_symbol
_atom_site_fract_x
_atom_site_fract_y
_atom_site_fract_z
Pu1 Pu 0.0000 0.0000 0.0000
Tl1 Tl 0.7500 0.7500 0.7500
Ir1 Ir 0.2500 0.2500 0.2500

---

Record 3
# TmPuIr PBE optimized geometry
# * relative energy among the computed polymorphs: 0.000 eV/atom
# * ΔH_f (0 K): -1.633 eV/f.u.
data_TmPuIr
_space_group_name_H-M_alt 'P 1'
_space_group_IT_number 1
_cell_length_a 4.7700
_cell_length_b 4.7700
_cell_length_c 4.7700
_cell_angle_alpha 60.00
_cell_angle_beta 60.00
_cell_angle_gamma 60.00
loop_
_space_group_symop_operation_xyz
'x,y,z'
loop_
_atom_site_label
_atom_site_type_symbol
_atom_site_fract_x
_atom_site_fract_y
_atom_site_fract_z
Tm1 Tm 0.0000 0.0000 0.0000
Pu1 Pu 0.5000 0.5000 0.5000
Ir1 Ir 0.2500 0.2500 0.2500

---

Record 4
# PuUIr PBE optimized geometry
# * relative energy among the computed polymorphs: 0.000 eV/atom
# * ΔH_f (0 K): -0.650 eV/f.u.
data_PuUIr
_space_group_name_H-M_alt 'P 1'
_space_group_IT_number 1
_cell_length_a 4.4605
_cell_length_b 4.4605
_cell_length_c 4.4605
_cell_angle_alpha 60.00
_cell_angle_beta 60.00
_cell_angle_gamma 60.00
loop_
_space_group_symop_operation_xyz
'x,y,z'
loop_
_atom_site_label
_atom_site_type_symbol
_atom_site_fract_x
_atom_site_fract_y
_atom_site_fract_z
Pu1 Pu 0.0000 0.0000 0.0000
U1 U 0.2500 0.2500 0.2500
Ir1 Ir 0.7500 0.7500 0.7500

---

Record 5
# PuZnIr PBE optimized geometry
# * ΔH_f (0 K): -0.671 eV/f.u.
data_PuZnIr
_space_group_name_H-M_alt 'P 1'
_space_group_IT_number 1
_cell_length_a 4.4258
_cell_length_b 4.4258
_cell_length_c 4.4258
_cell_angle_alpha 60.00
_cell_angle_beta 60.00
_cell_angle_gamma 60.00
loop_
_space_group_symop_operation_xyz
'x,y,z'
loop_
_atom_site_label
_atom_site_type_symbol
_atom_site_fract_x
_atom_site_fract_y
_atom_site_fract_z
Pu1 Pu 0.0000 0.0000 0.0000
Zn1 Zn 0.5000 0.5000 0.5000
Ir1 Ir 0.2500 0.2500 0.2500

---

Record 6
# PuZnIr PBE optimized geometry
# * ΔH_f (0 K): -1.486 eV/f.u.
data_PuZnIr
_space_group_name_H-M_alt 'P 1'
_space_group_IT_number 1
_cell_length_a 3.9441
_cell_length_b 3.9441
_cell_length_c 7.3570
_cell_angle_alpha 90.00
_cell_angle_beta 90.00
_cell_angle_gamma 90.00
loop_
_space_group_symop_operation_xyz
'x,y,z'
loop_
_atom_site_label
_atom_site_type_symbol
_atom_site_fract_x
_atom_site_fract_y
_atom_site_fract_z
Pu1 Pu 0.2500 0.2500 0.1572
Pu2 Pu 0.7500 0.7500 0.8428
Zn1 Zn 0.2500 0.7500 0.5000
Zn2 Zn 0.7500 0.2500 0.5000
Ir1 Ir 0.2500 0.2500 0.7553
Ir2 Ir 0.7500 0.7500 0.2447

---

Record 7
# PuZnIr PBE optimized geometry
# * ΔH_f (0 K): 0.920 eV/f.u.
data_PuZnIr
_space_group_name_H-M_alt 'P 1'
_space_group_IT_number 1
_cell_length_a 4.4946
_cell_length_b 4.4946
_cell_length_c 4.4946
_cell_angle_alpha 60.00
_cell_angle_beta 60.00
_cell_angle_gamma 60.00
loop_
_space_group_symop_operation_xyz
'x,y,z'
loop_
_atom_site_label
_atom_site_type_symbol
_atom_site_fract_x
_atom_site_fract_y
_atom_site_fract_z
Pu1 Pu 0.0000 0.0000 0.0000
Zn1 Zn 0.2500 0.2500 0.2500
Ir1 Ir 0.7500 0.7500 0.7500

---

Record 8
# PuZrIr PBE optimized geometry
# * relative energy among the computed polymorphs: 0.000 eV/atom
# * ΔH_f (0 K): -0.969 eV/f.u.
data_PuZrIr
_space_group_name_H-M_alt 'P 1'
_space_group_IT_number 1
_cell_length_a 4.5703
_cell_length_b 4.5703
_cell_length_c 4.5703
_cell_angle_alpha 60.00
_cell_angle_beta 60.00
_cell_angle_gamma 60.00
loop_
_space_group_symop_operation_xyz
'x,y,z'
loop_
_atom_site_label
_atom_site_type_symbol
_atom_site_fract_x
_atom_site_fract_y
_atom_site_fract_z
Pu1 Pu 0.0000 0.0000 0.0000
Zr1 Zr 0.5000 0.5000 0.5000
Ir1 Ir 0.2500 0.2500 0.2500

---

Record 9
# RbIr5 PBE optimized geometry
# * total DFT energy (no corrections): -41.566 eV for the cell shown
data_RbIr5
_space_group_name_H-M_alt 'P 1'
_space_group_IT_number 1
_cell_length_a 5.5002
_cell_length_b 5.5002
_cell_length_c 4.2388
_cell_angle_alpha 90.00
_cell_angle_beta 90.00
_cell_angle_gamma 120.00
loop_
_space_group_symop_operation_xyz
'x,y,z'
loop_
_atom_site_label
_atom_site_type_symbol
_atom_site_fract_x
_atom_site_fract_y
_atom_site_fract_z
Rb1 Rb 0.0000 0.0000 0.0000
Ir1 Ir 0.0000 0.5000 0.5000
Ir2 Ir 0.3333 0.6667 0.0000
Ir3 Ir 0.5000 0.0000 0.5000
Ir4 Ir 0.5000 0.5000 0.5000
Ir5 Ir 0.6667 0.3333 0.0000

---

Record 10
# Rb3IrS3 PBE optimized geometry
# * total DFT energy (no corrections): -58.029 eV for the cell shown
data_Rb3IrS3
_space_group_name_H-M_alt 'P 1'
_space_group_IT_number 1
_cell_length_a 7.7034
_cell_length_b 7.7034
_cell_length_c 8.1098
_cell_angle_alpha 96.84
_cell_angle_beta 96.84
_cell_angle_gamma 109.73
loop_
_space_group_symop_operation_xyz
'x,y,z'
loop_
_atom_site_label
_atom_site_type_symbol
_atom_site_fract_x
_atom_site_fract_y
_atom_site_fract_z
Rb1 Rb 0.1842 0.8158 0.0000
Rb2 Rb 0.2672 0.7328 0.5000
Rb3 Rb 0.3868 0.3868 0.1466
Rb4 Rb 0.6132 0.6132 0.8534
Rb5 Rb 0.7328 0.2672 0.5000
Rb6 Rb 0.8158 0.1842 0.0000
Ir1 Ir 0.1382 0.1382 0.6242
Ir2 Ir 0.8618 0.8618 0.3758
S1 S 0.1123 0.1123 0.3412
S2 S 0.1542 0.4187 0.7807
S3 S 0.4187 0.1542 0.7807
S4 S 0.5813 0.8458 0.2193
S5 S 0.8458 0.5813 0.2193
S6 S 0.8877 0.8877 0.6588

---

Record 11
# Rb3Sb2Ir PBE optimized geometry
# * total DFT energy (no corrections): -42.261 eV for the cell shown
data_Rb3Sb2Ir
_space_group_name_H-M_alt 'P 1'
_space_group_IT_number 1
_cell_length_a 9.5412
_cell_length_b 9.5412
_cell_length_c 9.5412
_cell_angle_alpha 122.99
_cell_angle_beta 76.09
_cell_angle_gamma 134.09
loop_
_space_group_symop_operation_xyz
'x,y,z'
loop_
_atom_site_label
_atom_site_type_symbol
_atom_site_fract_x
_atom_site_fract_y
_atom_site_fract_z
Rb1 Rb 0.1815 0.6927 0.8742
Rb2 Rb 0.2500 0.2500 0.0000
Rb3 Rb 0.3185 0.1927 0.5111
Rb4 Rb 0.6815 0.8073 0.4889
Rb5 Rb 0.7500 0.7500 0.0000
Rb6 Rb 0.8185 0.3073 0.1258
Sb1 Sb 0.0762 0.3382 0.4145
Sb2 Sb 0.4238 0.8382 0.2620
Sb3 Sb 0.5762 0.1618 0.7380
Sb4 Sb 0.9238 0.6618 0.5855
Ir1 Ir 0.2500 0.7500 0.5000
Ir2 Ir 0.7500 0.2500 0.5000

---

Record 12
# RbSb5Ir3 PBE optimized geometry
# * total DFT energy (no corrections): -49.121 eV for the cell shown
data_RbSb5Ir3
_space_group_name_H-M_alt 'P 1'
_space_group_IT_number 1
_cell_length_a 5.7509
_cell_length_b 5.7509
_cell_length_c 9.0324
_cell_angle_alpha 90.00
_cell_angle_beta 90.00
_cell_angle_gamma 120.00
loop_
_space_group_symop_operation_xyz
'x,y,z'
loop_
_atom_site_label
_atom_site_type_symbol
_atom_site_fract_x
_atom_site_fract_y
_atom_site_fract_z
Rb1 Rb 0.0000 0.0000 0.0000
Sb1 Sb 0.0000 0.0000 0.5000
Sb2 Sb 0.3333 0.6667 0.2611
Sb3 Sb 0.3333 0.6667 0.7389
Sb4 Sb 0.6667 0.3333 0.2611
Sb5 Sb 0.6667 0.3333 0.7389
Ir1 Ir 0.0000 0.5000 0.5000
Ir2 Ir 0.5000 0.0000 0.5000
Ir3 Ir 0.5000 0.5000 0.5000

---

Record 13
# RbTlSb2Ir PBE optimized geometry
# * total DFT energy (no corrections): -19.713 eV for the cell shown
data_RbTlSb2Ir
_space_group_name_H-M_alt 'P 1'
_space_group_IT_number 1
_cell_length_a 8.8248
_cell_length_b 8.8248
_cell_length_c 8.8248
_cell_angle_alpha 152.26
_cell_angle_beta 152.26
_cell_angle_gamma 39.63
loop_
_space_group_symop_operation_xyz
'x,y,z'
loop_
_atom_site_label
_atom_site_type_symbol
_atom_site_fract_x
_atom_site_fract_y
_atom_site_fract_z
Rb1 Rb 0.0000 0.0000 0.0000
Tl1 Tl 0.7500 0.2500 0.5000
Sb1 Sb 0.3661 0.3661 0.0000
Sb2 Sb 0.6339 0.6339 0.0000
Ir1 Ir 0.2500 0.7500 0.5000